VASP calculation (GGA-PBE) on a geometry-optimized GdEr2Ga3Si2Ni structure.

As for the energy: -45.468 eV/cell.

Unit cell a=4.1419 b=6.8700 c=6.8700 alpha=120.30 beta=90.00 gamma=90.00
With the nearest neighbours (Å) after each atom.
Sites, in units of the cell vectors:
Gd 0.0000 0.0000 0.0000  1 Ni 2.80, 4 Si 2.96
Er 0.0000 0.1923 0.5956  1 Ni 2.75, 4 Si 2.93
Er 0.0000 0.5956 0.1923  1 Ni 2.75, 4 Si 2.93
Ga 0.5000 0.3593 0.3593  2 Ni 2.61, 2 Si 2.70, 2 Ga 2.80
Ga 0.5000 0.5933 0.8305  2 Ni 2.64, 2 Si 2.65-2.69, 2 Ga 2.80-2.83
Ga 0.5000 0.8305 0.5933  2 Ni 2.64, 2 Si 2.65-2.69, 2 Ga 2.80-2.83
Si 0.5000 0.2649 0.9267  3 Ga 2.65-2.70, 4 Er 2.93, 2 Gd 2.96
Si 0.5000 0.9267 0.2649  3 Ga 2.65-2.70, 4 Er 2.93, 2 Gd 2.96
Ni 0.0000 0.5909 0.5909  6 Ga 2.61-2.64, 2 Er 2.75, 1 Gd 2.80

***

VASP calculation (GGA-PBE) on a geometry-optimized GdEr2Ga3NiSn2 structure.

As for the energy: -41.878 eV/cell.

Unit cell a=4.2582 b=7.2867 c=7.2867 alpha=120.63 beta=90.00 gamma=90.00
With the nearest neighbours (Å) after each atom.
Sites, in units of the cell vectors:
Gd 0.0000 0.0000 0.0000  1 Ni 2.79
Er 0.0000 0.2435 0.6198  1 Ni 2.72
Er 0.0000 0.6198 0.2435  1 Ni 2.72
Ga 0.5000 0.3962 0.3962  2 Ni 2.64, 2 Ga 2.77, 2 Sn 2.93
Ga 0.5000 0.6189 0.8379  2 Ni 2.67, 2 Ga 2.77, 2 Sn 2.91-2.92
Ga 0.5000 0.8379 0.6189  2 Ni 2.67, 2 Ga 2.77, 2 Sn 2.91-2.92
Ni 0.0000 0.6136 0.6136  6 Ga 2.64-2.67, 2 Er 2.72, 1 Gd 2.79
Sn 0.5000 0.2888 0.9503  3 Ga 2.91-2.93, 4 Er 3.10-3.11, 2 Gd 3.14
Sn 0.5000 0.9503 0.2888  3 Ga 2.91-2.93, 4 Er 3.10-3.11, 2 Gd 3.14

***

VASP calculation (GGA-PBE) on a geometry-optimized GdErGa2Pt4 structure.

The calculation puts the energy above the most stable polymorph in this dataset at 0.00 eV/f.u.

Unit cell a=4.3885 b=4.3885 c=9.1122 alpha=90.00 beta=90.00 gamma=120.00
With the nearest neighbours (Å) after each atom.
Sites, in units of the cell vectors:
Gd 0.0000 0.0000 0.0000  8 Pt 2.96-3.08
Er 0.3333 0.6667 0.5000  8 Pt 2.93-3.03
Ga 0.6667 0.3333 0.2509  6 Pt 2.64-2.66
Ga 0.6667 0.3333 0.7491  6 Pt 2.64-2.66
Pt 0.0000 0.0000 0.3383  3 Ga 2.66, 3 Er 2.93, 4 Pt 2.95-2.97
Pt 0.0000 0.0000 0.6617  3 Ga 2.66, 3 Er 2.93, 4 Pt 2.95-2.97
Pt 0.3333 0.6667 0.1677  3 Ga 2.64, 3 Gd 2.96
Pt 0.3333 0.6667 0.8323  3 Ga 2.64, 3 Gd 2.96

***

VASP calculation (GGA-PBE) on a geometry-optimized GdErGa2Pt4 structure.

The calculation puts the energy above the most stable polymorph in this dataset at 1.41 eV/f.u.

Unit cell a=4.6988 b=4.6988 c=6.6637 alpha=90.00 beta=90.00 gamma=90.00
With the nearest neighbours (Å) after each atom.
Sites, in units of the cell vectors:
Gd 0.0000 0.0000 0.0000  8 Pt 2.90
Er 0.5000 0.5000 0.5000  8 Pt 2.86
Ga 0.0000 0.0000 0.5000  8 Pt 2.86
Ga 0.5000 0.5000 0.0000  8 Pt 2.90
Pt 0.0000 0.5000 0.2550  2 Er 2.86, 4 Ga 2.86-2.90, 2 Gd 2.90
Pt 0.0000 0.5000 0.7450  2 Er 2.86, 4 Ga 2.86-2.90, 2 Gd 2.90
Pt 0.5000 0.0000 0.2550  2 Er 2.86, 4 Ga 2.86-2.90, 2 Gd 2.90
Pt 0.5000 0.0000 0.7450  2 Er 2.86, 4 Ga 2.86-2.90, 2 Gd 2.90